1.
Density functional theory data (GGA-PBE) for an optimized crystal structure of Y2PuS.

## Properties
Total magnetization: 1.5975 μB/atom
E_tot: -33.94 eV for the cell shown
Crystal system: trigonal
ΔE_f (raw): -637 meV per atom
DOS at the Fermi energy: 10.16 states/eV per cell

abc: 10.210 10.210 10.210
angles: 20.55 20.55 20.55
Atoms (fractional coordinates):
Y1 0.111 0.111 0.111
Y2 0.889 0.889 0.889
Pu1 0.000 0.000 0.000
S1 0.500 0.500 0.500


2.
Density functional theory data (GGA-PBE) for an optimized crystal structure of YPu4S5.

## Properties
Total magnetization: 0.0182 μB/atom
E_tot: -102.57 eV for the cell shown
Crystal system: tetragonal
ΔE_f (raw): -1815 meV per atom
DOS at the Fermi energy: 30.70 states/eV per cell

abc: 14.259 14.259 14.259
angles: 164.10 164.10 22.56
Atoms (fractional coordinates):
Y1 0.000 0.000 0.000
Pu1 0.200 0.200 0.000
Pu2 0.400 0.400 0.000
Pu3 0.600 0.600 0.000
Pu4 0.800 0.800 0.000
S1 0.099 0.099 0.000
S2 0.299 0.299 0.000
S3 0.500 0.500 0.000
S4 0.701 0.701 0.000
S5 0.901 0.901 0.000


3.
Density functional theory data (GGA-PBE) for an optimized crystal structure of Y3PuS6.

## Properties
Total magnetization: 0.5000 μB/atom
E_tot: -156.23 eV for the cell shown
Crystal system: monoclinic
ΔE_f (raw): -1963 meV per atom
DOS at the Fermi energy: 21.00 states/eV per cell

abc: 11.085 3.973 11.268
angles: 90.00 108.58 90.00
Atoms (fractional coordinates):
Y1 0.067 0.250 0.167
Y2 0.180 0.750 0.503
Y3 0.341 0.250 0.917
Y4 0.659 0.750 0.083
Y5 0.820 0.250 0.497
Y6 0.933 0.750 0.833
Pu1 0.454 0.250 0.313
Pu2 0.546 0.750 0.687
S1 0.022 0.250 0.387
S2 0.102 0.250 0.935
S3 0.244 0.750 0.276
S4 0.308 0.750 0.751
S5 0.386 0.250 0.540
S6 0.418 0.750 0.099
S7 0.582 0.250 0.901
S8 0.614 0.750 0.460
S9 0.692 0.250 0.249
S10 0.756 0.250 0.724
S11 0.898 0.750 0.065
S12 0.978 0.750 0.613


4.
Density functional theory data (GGA-PBE) for an optimized crystal structure of YPu2S6.

## Properties
Total magnetization: 0.8344 μB/atom
E_tot: -72.16 eV for the cell shown
Crystal system: hexagonal
ΔE_f (raw): -1363 meV per atom
DOS at the Fermi energy: 19.38 states/eV per cell

abc: 7.264 7.264 3.984
angles: 90.00 90.00 120.00
Atoms (fractional coordinates):
Y1 0.000 0.000 0.000
Pu1 0.333 0.667 0.500
Pu2 0.667 0.333 0.500
S1 0.000 0.263 0.500
S2 0.000 0.588 0.000
S3 0.263 0.000 0.500
S4 0.412 0.412 0.000
S5 0.588 0.000 0.000
S6 0.737 0.737 0.500


5.
Density functional theory data (GGA-PBE) for an optimized crystal structure of YPu2S3.

## Properties
Total magnetization: 1.8532 μB/atom
E_tot: -117.00 eV for the cell shown
Crystal system: hexagonal
ΔE_f (raw): -1831 meV per atom
DOS at the Fermi energy: 33.02 states/eV per cell

abc: 3.926 3.926 19.610
angles: 90.00 90.00 120.00
Atoms (fractional coordinates):
Y1 0.000 0.000 0.250
Y2 0.000 0.000 0.750
Pu1 0.333 0.667 0.084
Pu2 0.333 0.667 0.416
Pu3 0.667 0.333 0.584
Pu4 0.667 0.333 0.916
S1 0.000 0.000 0.000
S2 0.000 0.000 0.500
S3 0.333 0.667 0.665
S4 0.333 0.667 0.835
S5 0.667 0.333 0.165
S6 0.667 0.333 0.335


6.
Density functional theory data (GGA-PBE) for an optimized crystal structure of Y2PuS4.

## Properties
Total magnetization: 0.7995 μB/atom
E_tot: -114.90 eV for the cell shown
Crystal system: orthorhombic
ΔE_f (raw): -1955 meV per atom
DOS at the Fermi energy: 30.04 states/eV per cell

abc: 6.754 6.754 13.112
angles: 90.00 90.00 146.60
Atoms (fractional coordinates):
Y1 0.133 0.867 0.568
Y2 0.133 0.867 0.932
Y3 0.867 0.133 0.068
Y4 0.867 0.133 0.432
Pu1 0.381 0.619 0.750
Pu2 0.619 0.381 0.250
S1 0.036 0.964 0.750
S2 0.227 0.773 0.122
S3 0.227 0.773 0.378
S4 0.500 0.500 0.000
S5 0.500 0.500 0.500
S6 0.773 0.227 0.622
S7 0.773 0.227 0.878
S8 0.964 0.036 0.250


7.
Density functional theory data (GGA-PBE) for an optimized crystal structure of YPuS2.

## Properties
Total magnetization: 1.3422 μB/atom
Offset from the most stable computed form: 0.1116 eV per atom
E_tot: -36.25 eV for the cell shown
Crystal system: trigonal
ΔE_f (raw): -1800 meV per atom
DOS at the Fermi energy: 5.94 states/eV per cell

abc: 7.251 7.251 7.251
angles: 30.66 30.66 30.66
Atoms (fractional coordinates):
Y1 0.000 0.000 0.000
Pu1 0.824 0.824 0.824
S1 0.246 0.246 0.246
S2 0.413 0.413 0.413


8.
Density functional theory data (GGA-PBE) for an optimized crystal structure of YPuS2.

## Properties
Total magnetization: 1.4839 μB/atom
Offset from the most stable computed form: 0.0500 eV per atom
E_tot: -72.99 eV for the cell shown
Crystal system: hexagonal
ΔE_f (raw): -1861 meV per atom
DOS at the Fermi energy: 18.87 states/eV per cell

abc: 3.884 3.884 13.363
angles: 90.00 90.00 120.00
Atoms (fractional coordinates):
Y1 0.000 0.000 0.000
Y2 0.000 0.000 0.500
Pu1 0.333 0.667 0.250
Pu2 0.667 0.333 0.750
S1 0.333 0.667 0.620
S2 0.333 0.667 0.880
S3 0.667 0.333 0.120
S4 0.667 0.333 0.380


9.
Density functional theory data (GGA-PBE) for an optimized crystal structure of Pu3ZnS6.

## Properties
Total magnetization: 1.4000 μB/atom
E_tot: -166.53 eV for the cell shown
Crystal system: orthorhombic
ΔE_f (raw): -1423 meV per atom
DOS at the Fermi energy: 44.02 states/eV per cell

abc: 8.464 8.464 6.481
angles: 90.00 90.00 102.17
Atoms (fractional coordinates):
Pu1 0.106 0.894 0.500
Pu2 0.216 0.420 0.578
Pu3 0.420 0.216 0.078
Pu4 0.580 0.784 0.578
Pu5 0.784 0.580 0.078
Pu6 0.894 0.106 0.000
Zn1 0.303 0.697 0.123
Zn2 0.697 0.303 0.623
S1 0.061 0.597 0.306
S2 0.133 0.188 0.289
S3 0.188 0.133 0.789
S4 0.280 0.720 0.767
S5 0.403 0.939 0.306
S6 0.466 0.534 0.281
S7 0.534 0.466 0.781
S8 0.597 0.061 0.806
S9 0.720 0.280 0.267
S10 0.812 0.867 0.289
S11 0.867 0.812 0.789
S12 0.939 0.403 0.806


10.
Density functional theory data (GGA-PBE) for an optimized crystal structure of PuZnS2.

## Properties
Total magnetization: 1.4012 μB/atom
E_tot: -25.49 eV for the cell shown
Crystal system: trigonal
ΔE_f (raw): -408 meV per atom
DOS at the Fermi energy: 7.28 states/eV per cell

abc: 8.123 8.123 8.123
angles: 26.50 26.50 26.50
Atoms (fractional coordinates):
Pu1 0.000 0.000 0.000
Zn1 0.500 0.500 0.500
S1 0.110 0.110 0.110
S2 0.890 0.890 0.890


11.
Density functional theory data (GGA-PBE) for an optimized crystal structure of PuZrS2.

## Properties
Total magnetization: 1.3723 μB/atom
Offset from the most stable computed form: 0.0500 eV per atom
E_tot: -75.00 eV for the cell shown
Crystal system: hexagonal
ΔE_f (raw): -1592 meV per atom
DOS at the Fermi energy: 15.22 states/eV per cell

abc: 3.763 3.763 12.836
angles: 90.00 90.00 120.00
Atoms (fractional coordinates):
Pu1 0.333 0.667 0.250
Pu2 0.667 0.333 0.750
Zr1 0.000 0.000 0.000
Zr2 0.000 0.000 0.500
S1 0.333 0.667 0.616
S2 0.333 0.667 0.884
S3 0.667 0.333 0.116
S4 0.667 0.333 0.384


12.
Density functional theory data (GGA-PBE) for an optimized crystal structure of Pu3ZrS4.

## Properties
Total magnetization: 2.0680 μB/atom
E_tot: -81.63 eV for the cell shown
Crystal system: orthorhombic
ΔE_f (raw): -1697 meV per atom
DOS at the Fermi energy: 24.69 states/eV per cell

abc: 6.716 6.716 3.874
angles: 90.00 90.00 109.30
Atoms (fractional coordinates):
Pu1 0.000 0.000 0.000
Pu2 0.000 0.500 0.500
Pu3 0.500 0.000 0.500
Zr1 0.500 0.500 0.000
S1 0.254 0.746 0.000
S2 0.259 0.259 0.500
S3 0.741 0.741 0.500
S4 0.746 0.254 0.000